## BaAs (GGA-PBE)

Data for a geometry-optimized BaAs structure.

The calculation puts the size of the total moment at 0.00 μB per formula unit. The calculation puts the volume at 39.877 A^3/atom. The value obtained for the formation energy is -0.7877 eV per atom. As for the total energy: -65.18 eV per cell.

The structure belongs to space group I4/mmm (No. 139); the cell edges are 11.793, 11.793 and 4.587 Å and the angles 90.00°, 90.00° and 90.00°. The inequivalent atoms are Ba at (0.000, 0.276, 0.000) and As at (0.211, 0.211, 0.500).